A geometry-optimized RePIO2 structure, computed with PBE.

a b c (Å): 3.6867 3.6867 6.4249
angles (deg): 90.00 90.00 90.00
Sites, in units of the cell vectors:
I 0.0000 0.0000 0.5000
Re 0.5000 0.5000 0.5000
O 0.0000 0.5000 0.0000
O 0.5000 0.0000 0.0000
P 0.0000 0.0000 0.0000

Computed properties:
Its magnetization is 2.87 μB/f.u. The calculation puts the energy relative to the elements, uncorrected at 0.72 eV per atom. As for the crystal system: tetragonal. The density of states at the Fermi level is 3.527 states/eV/cell. The value obtained for the total energy is -5.143 eV per atom. The symmetry is P4/mmm (123).